BeBrOF2 | GGA-PBE | optimized geometry

Cell: 4.5049 4.5049 4.0043 Å, 90.00 90.00 90.00°
Each line ends with the local moment (μB).
Atoms (fractional coordinates):
Br: 0.0000 0.0000 0.0000  -0.06
O: 0.0000 0.0000 0.5000  0.00
F: 0.0000 0.5000 0.0000  0.02
F: 0.5000 0.0000 0.0000  0.02
Be: 0.5000 0.5000 0.5000  0.35

energy relative to the elements, uncorrected: 0.335 eV/atom
final energy: -0.0913 hartree per atom